# 1
# CsMn2BeI8, optimized geometry, DFT GGA-PBE
data_CsMn2BeI8
_symmetry_space_group_name_H-M 'R 3 2'
_symmetry_Int_Tables_number 155
_symmetry_space_group_name_Hall 'R 3 2"'
_cell_length_a 7.1703
_cell_length_b 7.1703
_cell_length_c 33.3451
_cell_angle_alpha 90.00
_cell_angle_beta 90.00
_cell_angle_gamma 120.00
loop_
_atom_site_label
_atom_site_type_symbol
_atom_site_fract_x
_atom_site_fract_y
_atom_site_fract_z
Cs1 Cs 0.0000 0.0000 0.0000
Mn1 Mn 0.0000 0.0000 0.2429
Be1 Be 0.0000 0.0000 0.5000
I1 I 0.0000 0.0000 0.3216
I2 I 0.0086 0.3031 0.5549
# **V**: 41.2 A^3/atom
# **Total energy**: -3.363 eV per atom
# **Spin magnetization**: 26.97 μB/cell

# 2
# TbGdTcPd, optimized geometry, DFT GGA-PBE
data_TbGdTcPd
_symmetry_space_group_name_H-M 'F -4 3 m'
_symmetry_Int_Tables_number 216
_symmetry_space_group_name_Hall 'F -4 2 3'
_cell_length_a 6.949
_cell_length_b 6.949
_cell_length_c 6.949
_cell_angle_alpha 90.00
_cell_angle_beta 90.00
_cell_angle_gamma 90.00
loop_
_atom_site_label
_atom_site_type_symbol
_atom_site_fract_x
_atom_site_fract_y
_atom_site_fract_z
Tb1 Tb 0.000 0.000 0.000
Gd1 Gd 0.000 0.000 0.500
Tc1 Tc 0.250 0.250 0.250
Pd1 Pd 0.250 0.250 0.750
# **V**: 21.0 A^3/atom
# **Total energy**: -8.896 eV per atom
# **Spin magnetization**: 28.18 μB/cell
# **E_form**: -0.33 eV per atom

# 3
# BeZn2F, optimized geometry, DFT GGA-PBE
data_BeZn2F
_symmetry_space_group_name_H-M 'F m -3 m'
_symmetry_Int_Tables_number 225
_symmetry_space_group_name_Hall '-F 4 2 3'
_cell_length_a 6.019
_cell_length_b 6.019
_cell_length_c 6.019
_cell_angle_alpha 90.00
_cell_angle_beta 90.00
_cell_angle_gamma 90.00
loop_
_atom_site_label
_atom_site_type_symbol
_atom_site_fract_x
_atom_site_fract_y
_atom_site_fract_z
Be1 Be 0.000 0.000 0.000
Zn1 Zn 0.250 0.250 0.250
F1 F 0.000 0.000 0.500
# **V**: 13.6 A^3/atom
# **Total energy**: -2.108 eV per atom
# **Spin magnetization**: 0.00 μB/cell
# **Energy relative to the lowest polymorph listed for this composition**: 0.77 eV per formula unit

# 4
# BeGaHg2, optimized geometry, DFT GGA-PBE
data_BeGaHg2
_symmetry_space_group_name_H-M 'I -4 2 d'
_symmetry_Int_Tables_number 122
_symmetry_space_group_name_Hall 'I -4 2bw'
_cell_length_a 8.794
_cell_length_b 8.794
_cell_length_c 4.451
_cell_angle_alpha 90.00
_cell_angle_beta 90.00
_cell_angle_gamma 90.00
loop_
_atom_site_label
_atom_site_type_symbol
_atom_site_fract_x
_atom_site_fract_y
_atom_site_fract_z
Be1 Be 0.000 0.000 0.000
Ga1 Ga 0.000 0.000 0.500
Hg1 Hg 0.125 0.250 0.125
# **V**: 21.5 A^3/atom
# **Total energy**: -1.564 eV per atom
# **Spin magnetization**: 0.00 μB/cell
# **Energy relative to the lowest polymorph listed for this composition**: 0.00 eV per formula unit
# **E_form**: 0.27 eV per atom

# 5
# BeSbRuI2, optimized geometry, DFT GGA-PBE
data_BeSbRuI2
_symmetry_space_group_name_H-M 'P 4/m m m'
_symmetry_Int_Tables_number 123
_symmetry_space_group_name_Hall '-P 4 2'
_cell_length_a 5.137
_cell_length_b 5.137
_cell_length_c 4.910
_cell_angle_alpha 90.00
_cell_angle_beta 90.00
_cell_angle_gamma 90.00
loop_
_atom_site_label
_atom_site_type_symbol
_atom_site_fract_x
_atom_site_fract_y
_atom_site_fract_z
Be1 Be 0.000 0.000 0.000
Sb1 Sb 0.000 0.000 0.500
Ru1 Ru 0.500 0.500 0.500
I1 I 0.000 0.500 0.000
# **V**: 25.9 A^3/atom
# **Total energy**: -2.940 eV per atom
# **Spin magnetization**: 2.31 μB/cell
# **Energy relative to the lowest polymorph listed for this composition**: 1.03 eV per formula unit

# 6
# KRbHSeBrCl, optimized geometry, DFT GGA-PBE
data_KRbHSeBrCl
_symmetry_space_group_name_H-M 'P 1'
_symmetry_Int_Tables_number 1
_cell_length_a 5.570
_cell_length_b 5.695
_cell_length_c 8.492
_cell_angle_alpha 77.65
_cell_angle_beta 85.10
_cell_angle_gamma 63.91
loop_
_symmetry_equiv_pos_as_xyz
'x,y,z'
loop_
_atom_site_label
_atom_site_type_symbol
_atom_site_fract_x
_atom_site_fract_y
_atom_site_fract_z
K1 K 0.000 0.000 0.000
Rb1 Rb 0.362 0.482 0.509
H1 H 0.979 0.308 0.361
Se1 Se 0.016 0.429 0.191
Br1 Br 0.512 0.923 0.204
Cl1 Cl 0.004 0.101 0.638
# **V**: 39.4 A^3/atom
# **Total energy**: -3.103 eV per atom
# **Spin magnetization**: 0.00 μB/cell
# **Energy relative to the lowest polymorph listed for this composition**: 0.20 eV per formula unit

# 7
# Dy4YIr5, optimized geometry, DFT GGA-PBE
data_Dy4YIr5
_symmetry_space_group_name_H-M 'P 4/m m m'
_symmetry_Int_Tables_number 123
_symmetry_space_group_name_Hall '-P 4 2'
_cell_length_a 3.356
_cell_length_b 3.356
_cell_length_c 17.868
_cell_angle_alpha 90.00
_cell_angle_beta 90.00
_cell_angle_gamma 90.00
loop_
_atom_site_label
_atom_site_type_symbol
_atom_site_fract_x
_atom_site_fract_y
_atom_site_fract_z
Dy1 Dy 0.000 0.000 0.100
Dy2 Dy 0.000 0.000 0.300
Y1 Y 0.000 0.000 0.500
Ir1 Ir 0.500 0.500 0.000
Ir2 Ir 0.500 0.500 0.200
Ir3 Ir 0.500 0.500 0.399
# **V**: 20.1 A^3/atom
# **Total energy**: -7.717 eV per atom
# **Spin magnetization**: 0.00 μB/cell
# **E_form**: -0.80 eV per atom

# 8
# TaCuSn3, optimized geometry, DFT GGA-PBE
data_TaCuSn3
_symmetry_space_group_name_H-M 'P m -3 m'
_symmetry_Int_Tables_number 221
_symmetry_space_group_name_Hall '-P 4 2 3'
_cell_length_a 4.958
_cell_length_b 4.958
_cell_length_c 4.958
_cell_angle_alpha 90.00
_cell_angle_beta 90.00
_cell_angle_gamma 90.00
loop_
_atom_site_label
_atom_site_type_symbol
_atom_site_fract_x
_atom_site_fract_y
_atom_site_fract_z
Ta1 Ta 0.000 0.000 0.000
Cu1 Cu 0.500 0.500 0.500
Sn1 Sn 0.000 0.500 0.500
# **V**: 24.4 A^3/atom
# **Total energy**: -4.631 eV per atom
# **Spin magnetization**: 0.00 μB/cell
# **Energy relative to the lowest polymorph listed for this composition**: 1.03 eV per formula unit
# **E_form**: 0.96 eV per atom